Record 1
# Nd9Y4Tl11 (PBE-GGA, optimized geometry)
data_Nd9Y4Tl11
_chemical_formula_sum 'Nd18 Y8 Tl22'
_symmetry_space_group_name_H-M 'C m m m'
_symmetry_Int_Tables_number 65
_symmetry_space_group_name_Hall '-C 2 2'
_cell_length_a 18.094
_cell_length_b 21.895
_cell_length_c 3.569
_cell_angle_alpha 90.00
_cell_angle_beta 90.00
_cell_angle_gamma 90.00
loop_
_atom_site_label
_atom_site_type_symbol
_atom_site_fract_x
_atom_site_fract_y
_atom_site_fract_z
Nd1 Nd 0.000 0.000 0.000
Nd2 Nd 0.117 0.242 0.000
Nd3 Nd 0.122 0.414 0.000
Y1 Y 0.151 0.085 0.000
Tl1 Tl 0.000 0.134 0.500
Tl2 Tl 0.000 0.331 0.500
Tl3 Tl 0.000 0.500 0.500
Tl4 Tl 0.240 0.500 0.500
Tl5 Tl 0.244 0.325 0.500
# **DFT formation energy**: -0.310 eV per atom
# **Spin magnetization**: 0.0185 μB/atom
# **Density of states at the Fermi level**: 49.1 states/eV per cell

---

Record 2
# NdY5Tl6 (PBE-GGA, optimized geometry)
data_NdY5Tl6
_chemical_formula_sum 'Nd2 Y10 Tl12'
_symmetry_space_group_name_H-M 'C 1 2/m 1'
_symmetry_Int_Tables_number 12
_symmetry_space_group_name_Hall '-C 2y'
_cell_length_a 9.320
_cell_length_b 16.247
_cell_length_c 5.401
_cell_angle_alpha 90.00
_cell_angle_beta 125.27
_cell_angle_gamma 90.00
loop_
_atom_site_label
_atom_site_type_symbol
_atom_site_fract_x
_atom_site_fract_y
_atom_site_fract_z
Nd1 Nd 0.000 0.000 0.000
Y1 Y 0.000 0.164 0.500
Y2 Y 0.000 0.333 0.000
Y3 Y 0.000 0.500 0.500
Tl1 Tl 0.242 0.500 0.243
Tl2 Tl 0.246 0.331 0.746
# **DFT formation energy**: -0.377 eV per atom
# **Spin magnetization**: 0.0000 μB/atom
# **Density of states at the Fermi level**: 18.1 states/eV per cell

---

Record 3
# Nd9YTl2 (PBE-GGA, optimized geometry)
data_Nd9YTl2
_chemical_formula_sum 'Nd9 Y1 Tl2'
_symmetry_space_group_name_H-M 'P 4/m m m'
_symmetry_Int_Tables_number 123
_symmetry_space_group_name_Hall '-P 4 2'
_cell_length_a 5.015
_cell_length_b 5.015
_cell_length_c 15.437
_cell_angle_alpha 90.00
_cell_angle_beta 90.00
_cell_angle_gamma 90.00
loop_
_atom_site_label
_atom_site_type_symbol
_atom_site_fract_x
_atom_site_fract_y
_atom_site_fract_z
Nd1 Nd 0.000 0.000 0.000
Nd2 Nd 0.000 0.000 0.337
Nd3 Nd 0.000 0.500 0.173
Nd4 Nd 0.000 0.500 0.500
Y1 Y 0.500 0.500 0.000
Tl1 Tl 0.500 0.500 0.340
# **DFT formation energy**: -0.126 eV per atom
# **Spin magnetization**: 0.0000 μB/atom
# **Density of states at the Fermi level**: 15.7 states/eV per cell